A plane-wave DFT calculation with PBEsol was carried out for a relaxed Sr2ZnSb crystal.

Cell: 4.524 6.417 6.417 Å, 42.40 90.00 90.00°
Element x y z (fractional)
Sr 0.000 0.000 0.000
Sr 0.500 0.279 0.279
Zn 0.000 0.719 0.719
Sb 0.500 0.568 0.568

- E above lowest polymorph: 0 meV per atom
- Final energy: -12.46 eV per cell
- Formation energy (no corrections): -0.661 eV/atom
- Space group: Amm2 (38)



A plane-wave DFT calculation with PBEsol was carried out for a relaxed CoCuAu2 crystal.

Cell: 4.528 4.528 2.741 Å, 90.00 90.00 90.00°
Element x y z (fractional)
Co 0.000 0.000 0.000
Cu 0.500 0.500 0.000
Au 0.000 0.500 0.500
Au 0.500 0.000 0.500

- Final energy: -19.36 eV per cell
- E_form: 0.141 eV per atom
- Space group: P4/mmm (123)



A plane-wave DFT calculation with PBEsol was carried out for a relaxed LaNd3 crystal.

Cell: 7.250 7.250 5.901 Å, 90.00 90.00 120.00°
Element x y z (fractional)
La 0.333 0.667 0.250
La 0.667 0.333 0.750
Nd 0.166 0.332 0.750
Nd 0.166 0.834 0.750
Nd 0.332 0.166 0.250
Nd 0.668 0.834 0.750
Nd 0.834 0.166 0.250
Nd 0.834 0.668 0.250

- E above lowest polymorph: 24 meV per atom
- Final energy: -41.42 eV per cell
- E_form: 0.034 eV per atom
- Space group: P6_3/mmc (194)